Entry 1:
Material: Zr2TaAl
Method: DFT, PBE
State: relaxed

Unit cell a=5.4225 b=5.4225 c=5.4225 alpha=134.38 beta=134.38 gamma=66.50
Closest atoms and distances in Å follow each position.
Fractional positions:
Ta (0.7500, 0.2500, 0.5000)  8 Zr 2.97-3.09, 4 Al 3.09
Al (0.5000, 0.5000, 0.0000)  8 Zr 2.97-3.09, 4 Ta 3.09
Zr (0.2500, 0.7500, 0.5000)  4 Ta 2.97, 4 Zr 3.09, 4 Al 3.09
Zr (0.0000, 0.0000, 0.0000)  4 Al 2.97, 4 Zr 3.09, 4 Ta 3.09

## Properties
ΔE_f ... -137 meV per atom

Entry 2:
Material: ZrNp2NbN4
Method: DFT, PBE
State: relaxed

Unit cell a=3.3126 b=5.7496 c=5.7349 alpha=109.42 beta=90.00 gamma=90.00
Closest atoms and distances in Å follow each position.
Fractional positions:
N (0.5000, 0.2410, 0.2334)  2 Nb 2.28, 1 Zr 2.31, 3 Np 2.38-2.41
N (0.0000, 0.2504, 0.7645)  1 Nb 2.28, 2 Zr 2.31, 3 Np 2.38-2.41
N (0.5000, 0.7590, 0.7666)  2 Nb 2.28, 1 Zr 2.31, 3 Np 2.38-2.41
N (0.0000, 0.7496, 0.2355)  1 Nb 2.28, 2 Zr 2.31, 3 Np 2.38-2.41
Nb (0.0000, 0.0000, 0.0000)  6 N 2.28
Np (0.0000, 0.5000, 0.5000)  6 N 2.41
Np (0.5000, 0.0000, 0.5000)  6 N 2.38
Zr (0.5000, 0.5000, 0.0000)  6 N 2.31

## Properties
Energy ... -10.995 eV per atom

Entry 3:
Material: MgRe2Hg
Method: DFT, PBE
State: relaxed

Unit cell a=5.1441 b=5.1441 c=4.5826 alpha=79.56 beta=79.56 gamma=35.17
Closest atoms and distances in Å follow each position.
Fractional positions:
Re (0.9994, 0.9994, 0.9658)  2 Re 2.51, 1 Mg 2.81
Re (0.5006, 0.5006, 0.5342)  2 Re 2.51, 1 Mg 2.81
Hg (0.2500, 0.2500, 0.2500)  4 Mg 2.77, 6 Re 2.98-2.99
Mg (0.7500, 0.7500, 0.7500)  4 Hg 2.77, 6 Re 2.81-2.92

## Properties
ΔE_f ... 521 meV per atom
ΔE to the lowest computed polymorph ... 0.335 eV per atom